Entry 1:
DFT (PBE) results for a geometry-optimized La2TaAu structure.

* energy above the most stable polymorph in this dataset: 25 meV per atom
* E_form: 0.02 eV per atom
* total magnetization: 0.000 μB per formula unit

a b c (Å): 3.312 5.378 5.787
angles (deg): 90.00 90.00 90.00
Space group Pmm2 (No. 25)
One atom of each set of equivalent atoms:
La: 0.000 0.000 0.000 [1 per cell]
La: 0.000 0.500 0.437 [1 per cell]
Ta: 0.500 0.500 0.901 [1 per cell]
Au: 0.500 0.000 0.536 [1 per cell]

***

Entry 2:
DFT (PBE) results for a geometry-optimized Ba2Hg2Bi structure.

* energy above the most stable polymorph in this dataset: 0 meV per atom
* E_form: -0.61 eV per atom
* total magnetization: 0.000 μB per formula unit

a b c (Å): 13.313 4.995 13.479
angles (deg): 90.00 118.71 90.00
Space group C2/m (No. 12)
One atom of each set of equivalent atoms:
Ba: 0.090 0.000 0.395 [4 per cell]
Ba: 0.200 0.500 0.129 [4 per cell]
Hg: 0.014 0.000 0.115 [4 per cell]
Hg: 0.142 0.500 0.611 [4 per cell]
Bi: 0.084 0.500 0.815 [4 per cell]

***

Entry 3:
DFT (PBE) results for a geometry-optimized ThAg2Au structure.

* energy above the most stable polymorph in this dataset: 0 meV per atom
* E_form: -0.29 eV per atom
* total magnetization: 0.000 μB per formula unit

a b c (Å): 7.087 7.087 7.087
angles (deg): 90.00 90.00 90.00
Space group F-43m (No. 216)
One atom of each set of equivalent atoms:
Th: 0.000 0.000 0.000 [4 per cell]
Ag: 0.000 0.000 0.500 [4 per cell]
Ag: 0.250 0.250 0.250 [4 per cell]
Au: 0.250 0.250 0.750 [4 per cell]

***

Entry 4:
DFT (PBE) results for a geometry-optimized GdSiN2 structure.

* total magnetization: 6.844 μB per formula unit
* calculated total energy: -9.19 eV/atom

a b c (Å): 3.0303 3.0303 18.9591
angles (deg): 90.00 90.00 120.00
Space group R-3m (No. 166, hexagonal axes)
One atom of each set of equivalent atoms:
Gd: 0.0000 0.0000 0.0000 [3 per cell]
Si: 0.0000 0.0000 0.5000 [3 per cell]
N: 0.0000 0.0000 0.1182 [6 per cell]